Record 1
## K2SiSe (PBE)

Data for K2SiSe after structural relaxation.

Properties
Space group = No. 216
Polymorph energy (0 for the lowest one) = 430.8 meV per atom
M_tot = 0.0 μB per formula unit

Cell: 7.756 7.756 7.756 Å, 90.00 90.00 90.00°
Element x y z (fractional)
1 K 0.000 0.000 0.000
2 K 0.000 0.500 0.500
3 K 0.250 0.250 0.250
4 K 0.250 0.750 0.750
5 K 0.500 0.000 0.500
6 K 0.500 0.500 0.000
7 K 0.750 0.250 0.750
8 K 0.750 0.750 0.250
9 Si 0.250 0.250 0.750
10 Si 0.250 0.750 0.250
11 Si 0.750 0.250 0.250
12 Si 0.750 0.750 0.750
13 Se 0.000 0.000 0.500
14 Se 0.000 0.500 0.000
15 Se 0.500 0.000 0.000
16 Se 0.500 0.500 0.500



Record 2
## KSi2Se (PBE)

Data for KSi2Se after structural relaxation.

Properties
Electronic total energy = -3.664 eV/atom
Space group = No. 123
M_tot = 0.0 μB per formula unit

Cell: 3.737 3.737 7.015 Å, 90.00 90.00 90.00°
Element x y z (fractional)
1 K 0.000 0.000 0.000
2 Si 0.500 0.500 0.336
3 Si 0.500 0.500 0.664
4 Se 0.000 0.000 0.500



Record 3
## K2SiSe (PBE)

Data for K2SiSe after structural relaxation.

Properties
Space group = No. 47
Polymorph energy (0 for the lowest one) = 218.8 meV per atom
M_tot = 0.0 μB per formula unit

Cell: 4.328 4.346 6.047 Å, 90.00 90.00 90.00°
Element x y z (fractional)
1 K 0.000 0.000 0.239
2 K 0.000 0.000 0.761
3 Si 0.500 0.500 0.500
4 Se 0.500 0.500 0.000